Record 1
Ce2PaGa2 (PBE-GGA, relaxed); SG = Cmmm; crystal system = orthorhombic
1.0
3.3263 0.0000 0.0000
0.0000 4.4225 -0.0070
0.0000 -2.1994 7.7764
Ce Pa Ga
2 1 2
direct
0.5000 0.6144 0.2289 Ce
0.5000 0.3856 0.7711 Ce
0.0000 0.0000 0.0000 Pa
0.0000 0.2038 0.4076 Ga
0.0000 0.7962 0.5924 Ga

---

Record 2
CePa2Ga (PBE-GGA, relaxed); offset from the most stable computed form = 145 meV per atom; SG = R-3m; crystal system = trigonal
1.0
3.0927 0.0000 0.0000
1.5464 2.6784 0.0000
1.5464 0.8928 11.1610
Pa Ga Ce
2 1 1
direct
0.0893 0.0893 0.7322 Pa
0.9107 0.9107 0.2678 Pa
0.5000 0.5000 0.5000 Ga
0.0000 0.0000 0.0000 Ce

---

Record 3
Ce7Pa2Ga2 (PBE-GGA, relaxed); SG = Cmmm; crystal system = orthorhombic
1.0
6.6101 -0.0016 -1.0931
0.0057 7.1563 0.0008
-1.5028 -0.0031 6.5291
Ce Pa Ga
7 2 2
direct
0.0003 0.2742 0.4998 Ce
0.4998 0.7258 0.0003 Ce
0.9997 0.7258 0.5002 Ce
0.5002 0.2742 0.9997 Ce
0.0000 0.0000 0.0000 Ce
0.4998 0.7382 0.5002 Ce
0.5002 0.2618 0.4998 Ce
0.6859 0.9999 0.3141 Pa
0.3141 0.0001 0.6859 Pa
0.8369 0.5000 0.8369 Ga
0.1631 0.5000 0.1631 Ga

---

Record 4
CePa4Ga2 (PBE-GGA, relaxed); SG = I4/mmm; crystal system = tetragonal
1.0
-3.5227 0.1508 -2.0430
1.7766 -1.7985 -3.1961
-1.7400 -8.5363 6.4343
Ce Pa Ga
1 4 2
direct
0.0000 0.0000 0.0000 Ce
0.1412 0.1412 0.2823 Pa
0.8588 0.8588 0.7177 Pa
0.7500 0.2500 0.5000 Pa
0.2500 0.7500 0.5000 Pa
0.5732 0.5732 0.1464 Ga
0.4268 0.4268 0.8536 Ga

---

Record 5
Ce12PaGa6 (PBE-GGA, relaxed); SG = R-3; crystal system = trigonal
1.0
-7.2685 1.7374 2.2243
-1.0095 -7.3801 2.3049
2.6679 1.8939 7.0776
Ce Pa Ga
12 1 6
direct
0.7831 0.4998 0.4160 Ce
0.4160 0.7831 0.4998 Ce
0.4998 0.4160 0.7831 Ce
0.2169 0.5002 0.5840 Ce
0.5840 0.2169 0.5002 Ce
0.5002 0.5840 0.2169 Ce
0.0449 0.1384 0.3844 Ce
0.8616 0.6156 0.9551 Ce
0.6156 0.9551 0.8616 Ce
0.9551 0.8616 0.6156 Ce
0.1384 0.3844 0.0449 Ce
0.3844 0.0449 0.1384 Ce
0.0000 0.0000 0.0000 Pa
0.7369 0.8941 0.2712 Ga
0.7288 0.2631 0.1059 Ga
0.1059 0.7288 0.2631 Ga
0.2631 0.1059 0.7288 Ga
0.2712 0.7369 0.8941 Ga
0.8941 0.2712 0.7369 Ga

---

Record 6
CePa2Ga2 (PBE-GGA, relaxed); SG = P4/mbm; crystal system = tetragonal
1.0
-0.3565 -0.2971 3.1876
-5.2937 -6.6891 -1.2154
6.7314 -5.3730 0.2521
Ce Pa Ga
2 4 4
direct
0.0000 0.0000 0.0000 Ce
0.0000 0.5000 0.5000 Ce
0.5000 0.1190 0.6190 Pa
0.5000 0.6190 0.8810 Pa
0.5000 0.8810 0.3810 Pa
0.5000 0.3810 0.1190 Pa
0.0000 0.3251 0.8251 Ga
0.0000 0.8251 0.6749 Ga
0.0000 0.6749 0.1749 Ga
0.0000 0.1749 0.3251 Ga

---

| no. | DFT formation energy (kJ/mol of formula units) |
| --- | --- |
| 1 | -145.8 |
| 2 | 7.0 |
| 3 | 213.8 |
| 4 | 132.7 |
| 5 | -351.3 |
| 6 | -68.9 |